DFT (PBE with a Hubbard U) results for crystalline BaNdCrSnO6 at its relaxed geometry.

Output
As for the crystal system: cubic. The final energy is -7.101 eV/atom. The volume is 13.3 A^3/atom.

Lattice parameters (Å, degrees): 8.1018 8.1018 8.1018 90.00 90.00 90.00
Closest atoms and distances in Å follow each position.
Space group F-43m (No. 216)
Unique sites:
Ba (0.0000, 0.0000, 0.0000)  12 O 2.86
Nd (0.0000, 0.0000, 0.5000)  12 O 2.86
Cr (0.2500, 0.2500, 0.2500)  6 O 2.00
Sn (0.2500, 0.2500, 0.7500)  6 O 2.05
O (0.0032, 0.2500, 0.2500)  1 Cr 2.00, 1 Sn 2.05